Here is a geometry-optimized LiDyErAg structure from Alexandria via LeMat-Bulk. Energies are from PBE.

```
LiDyErAg
1.0
7.264 0.000 0.000
0.000 7.264 0.000
0.000 0.000 7.264
Li Dy Er Ag
4 4 4 4
direct
0.000 0.000 0.000
0.000 0.500 0.500
0.500 0.000 0.500
0.500 0.500 0.000
0.250 0.250 0.250
0.250 0.750 0.750
0.750 0.250 0.750
0.750 0.750 0.250
0.250 0.250 0.750
0.250 0.750 0.250
0.750 0.250 0.250
0.750 0.750 0.750
0.000 0.000 0.500
0.000 0.500 0.000
0.500 0.000 0.000
0.500 0.500 0.500
```

Computed properties:
DFT formation energy (eV/f.u.): -0.4
Electronic total energy (hartree per atom): -0.132

***

Here is a geometry-optimized Tb5Bi2C structure from Alexandria via LeMat-Bulk. Energies are from PBE.

```
Tb5Bi2C
1.0
2.600 -8.025 0.000
2.600 8.025 0.000
0.000 0.000 13.012
Tb Bi C
10 4 2
direct
0.080 0.920 0.625
0.080 0.920 0.875
0.283 0.717 0.585
0.283 0.717 0.915
0.294 0.706 0.250
0.706 0.294 0.750
0.717 0.283 0.085
0.717 0.283 0.415
0.920 0.080 0.125
0.920 0.080 0.375
0.121 0.879 0.109
0.121 0.879 0.391
0.879 0.121 0.609
0.879 0.121 0.891
0.188 0.812 0.750
0.812 0.188 0.250
```

Computed properties:
DFT formation energy (eV/f.u.): -1.2
Electronic total energy (hartree per atom): -0.190